No. 1
## HoEr4Sc8 (PBE)

Data for a relaxed structure of HoEr4Sc8.

energy relative to the elements	0.593	eV/atom
symmetry	R-3m, No. 166

Unit cell a=7.3424 b=7.3424 c=7.3424 alpha=90.11 beta=90.11 gamma=90.11
Closest atoms and distances in Å follow each position.
Atoms (fractional coordinates):
Ho: 0.0000 0.0000 0.0000  8 Sc 3.29-3.30, 6 Er 3.67
Er: 0.0000 0.0000 0.5000  8 Sc 3.22
Er: 0.0000 0.5000 0.0000  8 Sc 3.22
Er: 0.5000 0.0000 0.0000  8 Sc 3.22
Er: 0.5000 0.5000 0.5000  8 Sc 3.05-3.06
Sc: 0.2586 0.7400 0.7400  4 Er 3.06-3.22, 1 Ho 3.30
Sc: 0.2596 0.2596 0.2596  4 Er 3.05-3.22, 1 Ho 3.29
Sc: 0.2600 0.2600 0.7414  4 Er 3.06-3.22, 1 Ho 3.30
Sc: 0.2600 0.7414 0.2600  4 Er 3.06-3.22, 1 Ho 3.30
Sc: 0.7400 0.2586 0.7400  4 Er 3.06-3.22, 1 Ho 3.30
Sc: 0.7400 0.7400 0.2586  4 Er 3.06-3.22, 1 Ho 3.30
Sc: 0.7404 0.7404 0.7404  4 Er 3.05-3.22, 1 Ho 3.29
Sc: 0.7414 0.2600 0.2600  4 Er 3.06-3.22, 1 Ho 3.30

No. 2
## Ho16Er7Sc6 (PBE)

Data for a relaxed structure of Ho16Er7Sc6.

energy relative to the elements	0.191	eV/atom
symmetry	Fm-3m, No. 225

Unit cell a=10.7315 b=10.7315 c=10.7315 alpha=60.00 beta=60.00 gamma=60.00
Closest atoms and distances in Å follow each position.
Atoms (fractional coordinates):
Ho: 0.0588 0.6471 0.6471  3 Er 3.14, 3 Sc 3.36
Ho: 0.1123 0.1123 0.1123  6 Ho 3.41-3.73, 3 Er 3.41, 3 Sc 3.47
Ho: 0.1123 0.1123 0.6631  6 Ho 3.41-3.73, 3 Er 3.41, 3 Sc 3.47
Ho: 0.1123 0.6631 0.1123  6 Ho 3.41-3.73, 3 Er 3.41, 3 Sc 3.47
Ho: 0.3369 0.8877 0.8877  6 Ho 3.41-3.73, 3 Er 3.41, 3 Sc 3.47
Ho: 0.3529 0.3529 0.3529  3 Er 3.14, 3 Sc 3.36
Ho: 0.3529 0.3529 0.9412  3 Er 3.14, 3 Sc 3.36
Ho: 0.3529 0.9412 0.3529  3 Er 3.14, 3 Sc 3.36
Ho: 0.6471 0.0588 0.6471  3 Er 3.14, 3 Sc 3.36
Ho: 0.6471 0.6471 0.0588  3 Er 3.14, 3 Sc 3.36
Ho: 0.6471 0.6471 0.6471  3 Er 3.14, 3 Sc 3.36
Ho: 0.6631 0.1123 0.1123  6 Ho 3.41-3.73, 3 Er 3.41, 3 Sc 3.47
Ho: 0.8877 0.3369 0.8877  6 Ho 3.41-3.73, 3 Er 3.41, 3 Sc 3.47
Ho: 0.8877 0.8877 0.3369  6 Ho 3.41-3.73, 3 Er 3.41, 3 Sc 3.47
Ho: 0.8877 0.8877 0.8877  6 Ho 3.41-3.73, 3 Er 3.41, 3 Sc 3.47
Ho: 0.9412 0.3529 0.3529  3 Er 3.14, 3 Sc 3.36
Er: 0.0000 0.0000 0.5000  8 Ho 3.14-3.41
Er: 0.0000 0.5000 0.0000  8 Ho 3.14-3.41
Er: 0.0000 0.5000 0.5000  8 Ho 3.14-3.41
Er: 0.5000 0.0000 0.0000  8 Ho 3.14-3.41
Er: 0.5000 0.0000 0.5000  8 Ho 3.14-3.41
Er: 0.5000 0.5000 0.0000  8 Ho 3.14-3.41
Er: 0.5000 0.5000 0.5000  6 Sc 3.38
Sc: 0.2771 0.2771 0.7229  8 Ho 3.36-3.47, 1 Er 3.38
Sc: 0.2771 0.7229 0.2771  8 Ho 3.36-3.47, 1 Er 3.38
Sc: 0.2771 0.7229 0.7229  8 Ho 3.36-3.47, 1 Er 3.38
Sc: 0.7229 0.2771 0.2771  8 Ho 3.36-3.47, 1 Er 3.38
Sc: 0.7229 0.2771 0.7229  8 Ho 3.36-3.47, 1 Er 3.38
Sc: 0.7229 0.7229 0.2771  8 Ho 3.36-3.47, 1 Er 3.38

- The lowest energy relative to the elements belongs to which entry?
  Ho16Er7Sc6

Copy entry 1 word for word.
## HoEr4Sc8 (PBE)

Data for a relaxed structure of HoEr4Sc8.

energy relative to the elements	0.593	eV/atom
symmetry	R-3m, No. 166

Unit cell a=7.3424 b=7.3424 c=7.3424 alpha=90.11 beta=90.11 gamma=90.11
Closest atoms and distances in Å follow each position.
Atoms (fractional coordinates):
Ho: 0.0000 0.0000 0.0000  8 Sc 3.29-3.30, 6 Er 3.67
Er: 0.0000 0.0000 0.5000  8 Sc 3.22
Er: 0.0000 0.5000 0.0000  8 Sc 3.22
Er: 0.5000 0.0000 0.0000  8 Sc 3.22
Er: 0.5000 0.5000 0.5000  8 Sc 3.05-3.06
Sc: 0.2586 0.7400 0.7400  4 Er 3.06-3.22, 1 Ho 3.30
Sc: 0.2596 0.2596 0.2596  4 Er 3.05-3.22, 1 Ho 3.29
Sc: 0.2600 0.2600 0.7414  4 Er 3.06-3.22, 1 Ho 3.30
Sc: 0.2600 0.7414 0.2600  4 Er 3.06-3.22, 1 Ho 3.30
Sc: 0.7400 0.2586 0.7400  4 Er 3.06-3.22, 1 Ho 3.30
Sc: 0.7400 0.7400 0.2586  4 Er 3.06-3.22, 1 Ho 3.30
Sc: 0.7404 0.7404 0.7404  4 Er 3.05-3.22, 1 Ho 3.29
Sc: 0.7414 0.2600 0.2600  4 Er 3.06-3.22, 1 Ho 3.30

What did the first record say?
## HoEr4Sc8 (PBE)

Data for a relaxed structure of HoEr4Sc8.

energy relative to the elements	0.593	eV/atom
symmetry	R-3m, No. 166

Unit cell a=7.3424 b=7.3424 c=7.3424 alpha=90.11 beta=90.11 gamma=90.11
Closest atoms and distances in Å follow each position.
Atoms (fractional coordinates):
Ho: 0.0000 0.0000 0.0000  8 Sc 3.29-3.30, 6 Er 3.67
Er: 0.0000 0.0000 0.5000  8 Sc 3.22
Er: 0.0000 0.5000 0.0000  8 Sc 3.22
Er: 0.5000 0.0000 0.0000  8 Sc 3.22
Er: 0.5000 0.5000 0.5000  8 Sc 3.05-3.06
Sc: 0.2586 0.7400 0.7400  4 Er 3.06-3.22, 1 Ho 3.30
Sc: 0.2596 0.2596 0.2596  4 Er 3.05-3.22, 1 Ho 3.29
Sc: 0.2600 0.2600 0.7414  4 Er 3.06-3.22, 1 Ho 3.30
Sc: 0.2600 0.7414 0.2600  4 Er 3.06-3.22, 1 Ho 3.30
Sc: 0.7400 0.2586 0.7400  4 Er 3.06-3.22, 1 Ho 3.30
Sc: 0.7400 0.7400 0.2586  4 Er 3.06-3.22, 1 Ho 3.30
Sc: 0.7404 0.7404 0.7404  4 Er 3.05-3.22, 1 Ho 3.29
Sc: 0.7414 0.2600 0.2600  4 Er 3.06-3.22, 1 Ho 3.30

- The highest energy relative to the elements belongs to which entry?
  HoEr4Sc8